6
Lattice="-1.815 -1.999 4.751 3.556 -1.560 3.845 0.533 2.932 4.580" Properties=species:S:1:pos:R:3 comment="PBE NpBiPt4, optimized geometry" e_tot_ev_per_atom=-7.24 delta_e_f_ev_per_atom=-0.407 magmom_total_mub_per_cell=4.0 crystal_system=cubic pbc="T T T"
Np 0.000 0.000 0.000
Bi 0.568 -0.157 3.294
Pt 1.155 -1.864 5.942
Pt -0.363 0.391 6.311
Pt 1.422 -0.392 8.241
Pt 2.333 0.611 5.856